Compound: ZnPCl2
Source: the Alexandria database
Functional: PBE-GGA
Structure: relaxed

Calculated values
Spin magnetization: 0.77 μB/f.u.
Calculated total energy: -2.054 eV/atom
Energy above the most stable polymorph in this dataset: 1003 meV per atom
Crystal system: tetragonal

Unit cell a=5.021 b=5.021 c=5.021 alpha=127.69 beta=127.69 gamma=77.13
Atoms (fractional coordinates):
Zn1 0.000 0.000 0.000
P1 0.500 0.500 0.000
Cl1 0.250 0.750 0.500
Cl2 0.750 0.250 0.500